# 1
Here is an optimized crystal structure of KCd4Ag8 from Alexandria. Energies are from PBE-GGA.

density	8.134	g/cm3
uncorrected energy	-2.12	eV/atom
formation enthalpy at 0 K	2.6	meV per atom

abc: 9.7955 9.7955 5.7521
angles: 90.00 90.00 90.00
With the nearest neighbours (Å) after each atom.
Space group I4/mmm (No. 139)
Unique sites:
K: 0.0000 0.0000 0.0000 (multiplicity 2)  12 Ag 3.47-3.62, 8 Cd 3.75
Cd: 0.2500 0.2500 0.2500 (multiplicity 8)  8 Ag 2.85-3.02, 2 Cd 2.88
Ag: 0.0000 0.2242 0.5000 (multiplicity 8)  4 Cd 2.85, 6 Ag 3.05-3.15
Ag: 0.0000 0.3546 0.0000 (multiplicity 8)  5 Ag 2.85-3.15, 4 Cd 3.02

# 2
Here is an optimized crystal structure of Pm2Zn2Ga5 from Alexandria. Energies are from PBE-GGA.

density	7.095	g/cm3
uncorrected energy	-3.46	eV/atom
formation enthalpy at 0 K	-435.4	meV per atom

abc: 4.2373 4.2373 10.0302
angles: 90.00 90.00 90.00
With the nearest neighbours (Å) after each atom.
Space group P4/mmm (No. 123)
Unique sites:
Pm: 0.0000 0.0000 0.0000 (multiplicity 1)  8 Zn 3.22, 8 Ga 3.43
Pm: 0.0000 0.0000 0.5000 (multiplicity 1)  12 Ga 3.00-3.14
Zn: 0.5000 0.5000 0.1185 (multiplicity 2)  1 Zn 2.38, 4 Ga 2.60
Ga: 0.0000 0.5000 0.2693 (multiplicity 4)  2 Zn 2.60
Ga: 0.5000 0.5000 0.5000 (multiplicity 1)  4 Pm 3.00, 8 Ga 3.14

# 3
Here is an optimized crystal structure of AlGeRuRh from Alexandria. Energies are from PBE-GGA.

density	9.133	g/cm3
uncorrected energy	-6.87	eV/atom
formation enthalpy at 0 K	-620.5	meV per atom

abc: 6.0440 6.0440 6.0440
angles: 90.00 90.00 90.00
With the nearest neighbours (Å) after each atom.
Space group F-43m (No. 216)
Unique sites:
Al: 0.0000 0.0000 0.0000 (multiplicity 4)  4 Ru 2.62, 4 Rh 2.62
Ge: 0.0000 0.0000 0.5000 (multiplicity 4)  4 Rh 2.62, 4 Ru 2.62
Ru: 0.2500 0.2500 0.2500 (multiplicity 4)  4 Ge 2.62, 4 Al 2.62
Rh: 0.2500 0.2500 0.7500 (multiplicity 4)  4 Ge 2.62, 4 Al 2.62

# 4
Here is an optimized crystal structure of Sr3ZnHg3 from Alexandria. Energies are from PBE-GGA.

density	7.040	g/cm3
uncorrected energy	-1.48	eV/atom
formation enthalpy at 0 K	-444.2	meV per atom

abc: 12.0467 4.5031 16.9716
angles: 90.00 107.62 90.00
With the nearest neighbours (Å) after each atom.
Space group C2/m (No. 12)
Unique sites:
Sr: 0.0216 0.0000 0.3898 (multiplicity 4)  3 Zn 3.34-3.56, 7 Hg 3.43-3.73
Sr: 0.1059 0.0000 0.9211 (multiplicity 4)  7 Hg 3.38-3.50
Sr: 0.2395 0.0000 0.2360 (multiplicity 4)  6 Hg 3.42-3.56, 2 Zn 3.48
Zn: 0.2260 0.5000 0.3892 (multiplicity 4)  4 Hg 2.73-3.01
Hg: 0.0244 0.5000 0.2376 (multiplicity 4)  1 Zn 2.96, 1 Hg 3.19
Hg: 0.1130 0.5000 0.0787 (multiplicity 4)  2 Hg 3.18-3.19, 7 Sr 3.38-3.48
Hg: 0.1537 0.5000 0.5443 (multiplicity 4)  3 Zn 2.73-3.01

# 5
Here is an optimized crystal structure of CaBe3Os from Alexandria. Energies are from PBE-GGA.

density	5.260	g/cm3
uncorrected energy	-4.79	eV/atom
formation enthalpy at 0 K	87.5	meV per atom
polymorph energy (0 for the lowest one)	0	meV per atom

abc: 4.3311 4.3311 4.3311
angles: 90.00 90.00 90.00
With the nearest neighbours (Å) after each atom.
Space group Pm-3m (No. 221)
Unique sites:
Ca: 0.0000 0.0000 0.0000 (multiplicity 1)  12 Be 3.06
Be: 0.0000 0.5000 0.5000 (multiplicity 3)  2 Os 2.17
Os: 0.5000 0.5000 0.5000 (multiplicity 1)  6 Be 2.17

# 6
Here is an optimized crystal structure of CaTb3Sm6Er2 from Alexandria. Energies are from PBE-GGA.

density	7.340	g/cm3
uncorrected energy	-4.40	eV/atom
formation enthalpy at 0 K	39.8	meV per atom

abc: 6.2625 10.8419 11.8684
angles: 90.00 100.06 90.00
With the nearest neighbours (Å) after each atom.
Space group C2/m (No. 12)
Unique sites:
Ca: 0.0000 0.0000 0.0000 (multiplicity 2)  6 Er 3.61, 6 Sm 3.63-3.64
Tb: 0.0000 0.1663 0.5000 (multiplicity 4)  6 Sm 3.55-3.59, 6 Tb 3.61-3.62
Tb: 0.0000 0.5000 0.5000 (multiplicity 2)  6 Sm 3.54-3.59, 6 Tb 3.61-3.62
Sm: 0.2435 0.5000 0.2522 (multiplicity 4)  3 Tb 3.54-3.58, 6 Sm 3.57-3.70, 2 Er 3.60, 1 Ca 3.64
Sm: 0.2456 0.3296 0.7484 (multiplicity 8)  3 Tb 3.55-3.59, 6 Sm 3.57-3.70, 2 Er 3.59, 1 Ca 3.63
Er: 0.0000 0.3334 0.0000 (multiplicity 4)  6 Sm 3.59-3.60, 3 Er 3.61-3.62, 3 Ca 3.61

# 7
Here is an optimized crystal structure of AgHgBr4 from Alexandria. Energies are from PBE-GGA.

formation energy without anion corrections	-291.7	meV/atom
density	5.293	g/cm3
uncorrected energy	-1.93	eV/atom
polymorph energy (0 for the lowest one)	1	meV per atom

abc: 7.8013 15.0685 7.7539
angles: 90.00 120.15 90.00
With the nearest neighbours (Å) after each atom.
Space group C2/c (No. 15)
Unique sites:
Ag: 0.0000 0.1816 0.2500 (multiplicity 4)  4 Br 2.61-2.65
Hg: 0.0000 0.3261 0.7500 (multiplicity 4)  4 Br 2.70-2.81
Br: 0.2369 0.0585 0.2517 (multiplicity 8)  1 Ag 2.61, 1 Hg 2.70
Br: 0.2366 0.3041 0.2374 (multiplicity 8)  1 Ag 2.65, 1 Hg 2.81

# 8
Here is an optimized crystal structure of ScHgI3 from Alexandria. Energies are from PBE-GGA.

formation energy without anion corrections	-927.3	meV/atom
density	4.749	g/cm3
uncorrected energy	-3.18	eV/atom
polymorph energy (0 for the lowest one)	45	meV per atom

abc: 7.3298 7.4886 8.8939
angles: 65.55 82.17 81.46
With the nearest neighbours (Å) after each atom.
Space group P-1 (No. 2)
Unique sites:
Sc: 0.2389 0.0140 0.1083 (multiplicity 2)  5 I 2.74-2.95, 1 Hg 3.02
Hg: 0.0523 0.7164 0.4144 (multiplicity 2)  1 Sc 3.02, 1 Hg 3.12
I: 0.1223 0.7784 0.9489 (multiplicity 2)  2 Sc 2.86-2.95
I: 0.2956 0.1690 0.3263 (multiplicity 2)  1 Sc 2.74
I: 0.4298 0.2709 0.8137 (multiplicity 2)  2 Sc 2.85-2.94

# 9
Here is an optimized crystal structure of TlTe2Au from Alexandria. Energies are from PBE-GGA.

formation energy without anion corrections	91.0	meV/atom
density	9.144	g/cm3
uncorrected energy	-2.89	eV/atom

abc: 4.1387 6.3880 9.0200
angles: 90.00 90.00 90.00
With the nearest neighbours (Å) after each atom.
Space group Imm2 (No. 44)
Unique sites:
Tl: 0.0000 0.0000 0.0000 (multiplicity 2)  2 Au 3.02
Te: 0.0000 0.0000 0.4544 (multiplicity 2)  2 Au 2.81, 2 Te 3.00
Te: 0.0000 0.5000 0.1951 (multiplicity 2)  2 Te 3.00
Au: 0.0000 0.5000 0.7441 (multiplicity 2)  2 Te 2.81, 2 Tl 3.02

# 10
Here is an optimized crystal structure of Sr2ZnGaPt from Alexandria. Energies are from PBE-GGA.

density	5.047	g/cm3
uncorrected energy	-3.16	eV/atom
formation enthalpy at 0 K	-417.4	meV per atom

abc: 5.8922 5.8922 4.7902
angles: 90.00 90.00 90.00
With the nearest neighbours (Å) after each atom.
Space group P4/mmm (No. 123)
Unique sites:
Sr: 0.0000 0.5000 0.0000 (multiplicity 2)  2 Pt 2.95
Zn: 0.0000 0.0000 0.5000 (multiplicity 1)  8 Sr 3.80, 4 Ga 4.17
Ga: 0.5000 0.5000 0.5000 (multiplicity 1)  2 Pt 2.40
Pt: 0.5000 0.5000 0.0000 (multiplicity 1)  2 Ga 2.40

# 11
Here is an optimized crystal structure of ErScCuOs from Alexandria. Energies are from PBE-GGA.

density	10.579	g/cm3
uncorrected energy	-6.89	eV/atom
formation enthalpy at 0 K	-335.2	meV per atom

abc: 6.6387 6.6387 6.6387
angles: 90.00 90.00 90.00
With the nearest neighbours (Å) after each atom.
Space group F-43m (No. 216)
Unique sites:
Er: 0.0000 0.0000 0.0000 (multiplicity 4)  4 Os 2.87, 4 Cu 2.87
Sc: 0.0000 0.0000 0.5000 (multiplicity 4)  4 Os 2.87, 4 Cu 2.87
Cu: 0.2500 0.2500 0.2500 (multiplicity 4)  4 Er 2.87, 4 Sc 2.87
Os: 0.2500 0.2500 0.7500 (multiplicity 4)  4 Er 2.87, 4 Sc 2.87

# 12
Here is an optimized crystal structure of AcTlAsO from Alexandria. Energies are from PBE-GGA.

formation energy without anion corrections	-1525.0	meV/atom
density	8.684	g/cm3
uncorrected energy	-5.55	eV/atom

abc: 4.4846 4.4846 9.9316
angles: 90.00 90.00 90.00
With the nearest neighbours (Å) after each atom.
Space group P4/nmm (No. 129, origin choice 2)
Unique sites:
Ac: 0.2500 0.2500 0.1180 (multiplicity 2)  4 O 2.53
Tl: 0.2500 0.7500 0.5000 (multiplicity 2)  4 As 3.03, 4 Tl 3.17
As: 0.2500 0.2500 0.7059 (multiplicity 2)  4 Tl 3.03
O: 0.2500 0.7500 0.0000 (multiplicity 2)  4 Ac 2.53

# 13
Here is an optimized crystal structure of Ac3LaCe2S6 from Alexandria. Energies are from PBE-GGA.

formation energy without anion corrections	-2030.4	meV/atom
density	6.860	g/cm3
uncorrected energy	-6.52	eV/atom

abc: 7.2434 12.5566 7.2949
angles: 90.00 109.41 90.00
With the nearest neighbours (Å) after each atom.
Space group C2/m (No. 12)
Unique sites:
Ac: 0.0000 0.0000 0.0000 (multiplicity 2)  6 S 3.01-3.04
Ac: 0.0000 0.3350 0.0000 (multiplicity 4)  6 S 3.01-3.04
La: 0.0000 0.5000 0.5000 (multiplicity 2)  6 S 2.93-2.94
Ce: 0.0000 0.1669 0.5000 (multiplicity 4)  6 S 2.89-2.90
S: 0.2396 0.0000 0.7331 (multiplicity 4)  2 Ce 2.89, 1 La 2.93, 3 Ac 3.01-3.03
S: 0.2475 0.3310 0.7356 (multiplicity 8)  2 Ce 2.89-2.90, 1 La 2.94, 3 Ac 3.01-3.04

# 14
Here is an optimized crystal structure of Sr3NbRu from Alexandria. Energies are from PBE-GGA.

density	4.161	g/cm3
uncorrected energy	-3.89	eV/atom
formation enthalpy at 0 K	987.4	meV per atom
polymorph energy (0 for the lowest one)	0	meV per atom

abc: 5.6701 5.6701 5.6701
angles: 90.00 90.00 90.00
With the nearest neighbours (Å) after each atom.
Space group Pm-3m (No. 221)
Unique sites:
Sr: 0.0000 0.0000 0.5000 (multiplicity 3)  2 Ru 2.84
Nb: 0.5000 0.5000 0.5000 (multiplicity 1)  12 Sr 4.01
Ru: 0.0000 0.0000 0.0000 (multiplicity 1)  6 Sr 2.84

# 15
Here is an optimized crystal structure of K2SbSe from Alexandria. Energies are from PBE-GGA.

formation energy without anion corrections	-425.9	meV/atom
density	2.418	g/cm3
uncorrected energy	-2.88	eV/atom
polymorph energy (0 for the lowest one)	91	meV per atom

abc: 11.6303 11.6303 5.6650
angles: 90.00 90.00 90.00
With the nearest neighbours (Å) after each atom.
Space group I-42d (No. 122)
Unique sites:
K: 0.0864 0.2500 0.1250 (multiplicity 8)  2 Se 3.16
Sb: 0.0000 0.0000 0.5000 (multiplicity 4)  2 Se 2.83
Se: 0.0000 0.0000 0.0000 (multiplicity 4)  2 Sb 2.83, 4 K 3.16

# 16
Here is an optimized crystal structure of ErPu2Ga6 from Alexandria. Energies are from PBE-GGA.

density	8.916	g/cm3
uncorrected energy	-5.99	eV/atom
formation enthalpy at 0 K	-276.5	meV per atom
polymorph energy (0 for the lowest one)	172	meV per atom

abc: 4.3895 7.0194 12.9792
angles: 90.00 90.00 90.00
With the nearest neighbours (Å) after each atom.
Space group Immm (No. 71)
Unique sites:
Er: 0.0000 0.0000 0.0000 (multiplicity 2)  4 Ga 3.03
Pu: 0.0000 0.5000 0.1159 (multiplicity 4)  10 Ga 2.88-3.22, 1 Pu 3.01
Ga: 0.0000 0.2030 0.5000 (multiplicity 4)  3 Ga 2.55-2.85
Ga: 0.0000 0.3069 0.3115 (multiplicity 8)  4 Ga 2.55-2.83

# 17
Here is an optimized crystal structure of Ac2Si4Ni3Pd from Alexandria. Energies are from PBE-GGA.

formation energy without anion corrections	-703.3	meV/atom
density	7.900	g/cm3
uncorrected energy	-5.95	eV/atom

abc: 4.2266 4.2266 9.9878
angles: 90.00 90.00 90.00
With the nearest neighbours (Å) after each atom.
Space group P-4m2 (No. 115)
Unique sites:
Ac: 0.0000 0.5000 0.2440 (multiplicity 2)  8 Si 3.23-3.26, 7 Ni 3.25-3.60, 2 Pd 3.32
Si: 0.0000 0.0000 0.0000 (multiplicity 1)  4 Ni 2.41
Si: 0.0000 0.5000 0.6269 (multiplicity 2)  3 Ni 2.46-2.56, 2 Pd 2.46
Si: 0.5000 0.5000 0.0000 (multiplicity 1)  4 Ni 2.41
Ni: 0.0000 0.5000 0.8833 (multiplicity 2)  5 Si 2.41-2.56
Ni: 0.5000 0.5000 0.5000 (multiplicity 1)  4 Si 2.46
Pd: 0.0000 0.0000 0.5000 (multiplicity 1)  4 Si 2.46

# 18
Here is an optimized crystal structure of K2InS2 from Alexandria. Energies are from PBE-GGA.

formation energy without anion corrections	-682.9	meV/atom
density	3.063	g/cm3
uncorrected energy	-3.32	eV/atom
polymorph energy (0 for the lowest one)	187	meV per atom

abc: 7.8093 7.8093 4.5718
angles: 90.00 90.00 90.00
With the nearest neighbours (Å) after each atom.
Space group P4/mbm (No. 127)
Unique sites:
K: 0.1345 0.3655 0.0000 (multiplicity 4)  1 K 2.97, 2 S 3.04
In: 0.0000 0.0000 0.5000 (multiplicity 2)  4 S 2.85
S: 0.1845 0.6845 0.5000 (multiplicity 4)  2 In 2.85, 2 K 3.04

# 19
Here is an optimized crystal structure of MgScB from Alexandria. Energies are from PBE-GGA.

density	2.471	g/cm3
uncorrected energy	-3.95	eV/atom
formation enthalpy at 0 K	916.0	meV per atom
polymorph energy (0 for the lowest one)	1341	meV per atom

abc: 5.9927 5.9927 5.9927
angles: 90.00 90.00 90.00
With the nearest neighbours (Å) after each atom.
Space group F-43m (No. 216)
Unique sites:
Mg: 0.0000 0.0000 0.0000 (multiplicity 4)  4 Sc 2.59
Sc: 0.2500 0.2500 0.2500 (multiplicity 4)  4 Mg 2.59, 4 B 2.59
B: 0.0000 0.0000 0.5000 (multiplicity 4)  4 Sc 2.59

# 20
Here is an optimized crystal structure of Sc3Ga2Ag4 from Alexandria. Energies are from PBE-GGA.

density	6.873	g/cm3
uncorrected energy	-4.38	eV/atom
formation enthalpy at 0 K	-331.5	meV per atom

abc: 10.1299 4.5789 8.5773
angles: 90.00 120.99 90.00
With the nearest neighbours (Å) after each atom.
Space group C2/m (No. 12)
Unique sites:
Sc: 0.0000 0.0000 0.0000 (multiplicity 2)  8 Ag 3.02-3.17, 4 Ga 3.09, 2 Sc 3.11
Sc: 0.1655 0.5000 0.6667 (multiplicity 4)  8 Ag 3.05-3.13, 4 Ga 3.06-3.08, 2 Sc 3.09-3.11
Ga: 0.1114 0.5000 0.2809 (multiplicity 4)  3 Ag 2.61-2.62
Ag: 0.0603 0.0000 0.3882 (multiplicity 4)  2 Ga 2.62, 1 Ag 2.75
Ag: 0.2156 0.5000 0.0587 (multiplicity 4)  1 Ga 2.61, 2 Ag 2.73